Entry 1:
Computed, not measured: an optimized crystal structure of Nd5DyEr12 at the GGA-PBE level of DFT.

Unit cell a=11.6828 b=17.1889 c=5.7189 alpha=90.00 beta=90.00 gamma=90.00
Last column: nearest neighbours and their distance in Å.
Space group C2/m (No. 12)
One atom of each set of equivalent atoms:
1 Nd 0.0000 0.0000 0.0000 [2 per cell]  10 Er 3.54-3.70, 4 Nd 3.75
2 Nd 0.0000 0.1409 0.5000 [4 per cell]  8 Er 3.36-3.62, 2 Nd 3.75
3 Nd 0.0000 0.3614 0.0000 [4 per cell]  8 Er 3.31-3.63
4 Dy 0.0000 0.5000 0.5000 [2 per cell]  10 Er 3.51-3.68, 4 Nd 3.72
5 Er 0.1557 0.1785 0.9997 [8 per cell]  5 Er 3.30-3.64, 4 Nd 3.45-3.63
6 Er 0.1569 0.3225 0.5003 [8 per cell]  5 Er 3.31-3.67, 3 Nd 3.46-3.62, 1 Dy 3.56
7 Er 0.1972 0.5000 0.9984 [4 per cell]  2 Er 3.10, 2 Nd 3.31
8 Er 0.1995 0.0000 0.5016 [4 per cell]  2 Er 3.10, 2 Nd 3.36

Output
Formation energy: 0.093 eV/atom
V: 1148.4 Å³ per cell

***

Entry 2:
Computed, not measured: an optimized crystal structure of BaDyZn4 at the GGA-PBE level of DFT.

Unit cell a=8.0878 b=8.0878 c=8.0878 alpha=90.00 beta=90.00 gamma=90.00
Last column: nearest neighbours and their distance in Å.
Space group F-43m (No. 216)
One atom of each set of equivalent atoms:
1 Ba 0.0000 0.0000 0.0000 [4 per cell]  12 Zn 3.36, 4 Dy 3.50
2 Dy 0.2500 0.2500 0.7500 [4 per cell]  12 Zn 3.35, 4 Ba 3.50
3 Zn 0.1230 0.1230 0.3770 [16 per cell]  6 Zn 2.81-2.91

Output
Formation energy: -0.125 eV/atom
V: 529.1 Å³ per cell

***

Entry 3:
Computed, not measured: an optimized crystal structure of TcRuO2F at the GGA-PBE level of DFT.

Unit cell a=3.9166 b=3.9166 c=4.2654 alpha=90.00 beta=90.00 gamma=90.00
Last column: nearest neighbours and their distance in Å.
Space group P4/mmm (No. 123)
One atom of each set of equivalent atoms:
1 Tc 0.0000 0.0000 0.0000 [1 per cell]  4 F 2.77, 8 O 2.90
2 Ru 0.5000 0.5000 0.5000 [1 per cell]  4 O 1.96, 2 F 2.13
3 O 0.0000 0.5000 0.5000 [2 per cell]  2 Ru 1.96
4 F 0.5000 0.5000 0.0000 [1 per cell]  2 Ru 2.13

Output
ΔE_f (raw): -0.1297 eV per atom
V: 65.4 Å³ per cell

***

Entry 4:
Computed, not measured: an optimized crystal structure of Ac3Sb2AsPd9 at the GGA-PBE level of DFT.

Unit cell a=6.9884 b=6.9884 c=8.5748 alpha=90.00 beta=90.00 gamma=120.00
Last column: nearest neighbours and their distance in Å.
Space group P-3m1 (No. 164)
One atom of each set of equivalent atoms:
1 Ac 0.0000 0.0000 0.0000 [1 per cell]  6 Pd 3.04
2 Ac 0.3333 0.6667 0.6892 [2 per cell]  9 Pd 3.34-3.51
3 Sb 0.3333 0.6667 0.1976 [2 per cell]  6 Pd 2.52-2.63
4 As 0.0000 0.0000 0.5000 [1 per cell]  6 Pd 2.41
5 Pd 0.0000 0.5000 0.0000 [3 per cell]  2 Sb 2.63
6 Pd 0.1374 0.2749 0.2969 [6 per cell]  1 As 2.41, 1 Sb 2.52

Output
ΔE_f (raw): -0.6151 eV per atom
V: 362.7 Å³ per cell

***

Entry 5:
Computed, not measured: an optimized crystal structure of FeTeBr2 at the GGA-PBE level of DFT.

Unit cell a=6.5573 b=7.2446 c=9.0708 alpha=90.00 beta=90.00 gamma=90.00
Last column: nearest neighbours and their distance in Å.
Space group Fmmm (No. 69)
One atom of each set of equivalent atoms:
1 Fe 0.0000 0.0000 0.0000 [4 per cell]  4 Br 2.90
2 Te 0.0000 0.0000 0.5000 [4 per cell]  4 Br 2.90
3 Br 0.0000 0.2500 0.2500 [8 per cell]  2 Fe 2.90, 2 Te 2.90

Output
ΔE_f (raw): 0.4152 eV per atom
V: 430.9 Å³ per cell

***

Entry 6:
Computed, not measured: an optimized crystal structure of BeCo2Cu at the GGA-PBE level of DFT.

Unit cell a=2.5608 b=2.5608 c=6.1849 alpha=90.00 beta=90.00 gamma=90.00
Last column: nearest neighbours and their distance in Å.
Space group P4/mmm (No. 123)
One atom of each set of equivalent atoms:
1 Be 0.0000 0.0000 0.0000 [1 per cell]  8 Co 2.24
2 Co 0.5000 0.5000 0.2141 [2 per cell]  4 Be 2.24
3 Cu 0.0000 0.0000 0.5000 [1 per cell]  8 Co 2.53, 4 Cu 2.56

Output
Formation energy: -0.011 eV/atom
V: 40.6 Å³ per cell

***

Entry 7:
Computed, not measured: an optimized crystal structure of Pu3ZnPd3 at the GGA-PBE level of DFT.

Unit cell a=8.1105 b=4.9852 c=8.1248 alpha=90.00 beta=119.88 gamma=90.00
Last column: nearest neighbours and their distance in Å.
Space group P2_1/m (No. 11)
One atom of each set of equivalent atoms:
1 Pu 0.0576 0.2500 0.1447 [2 per cell]  4 Pd 2.83-2.97, 3 Zn 3.07-3.14
2 Pu 0.1445 0.7500 0.5882 [2 per cell]  4 Pd 2.83-2.97, 3 Zn 3.08-3.14
3 Pu 0.4121 0.7500 0.0573 [2 per cell]  4 Pd 2.83-2.98, 3 Zn 3.07-3.15
4 Zn 0.1662 0.2500 0.8326 [2 per cell]  9 Pu 3.07-3.15, 3 Pd 3.13-3.16
5 Pd 0.2731 0.7500 0.3224 [2 per cell]  4 Pu 2.83-2.97, 6 Pd 2.90-3.01, 1 Zn 3.13
6 Pd 0.3220 0.2500 0.5489 [2 per cell]  4 Pu 2.83-2.97, 6 Pd 2.90-3.01, 1 Zn 3.13
7 Pd 0.4520 0.2500 0.2744 [2 per cell]  4 Pu 2.83-2.98, 6 Pd 2.90-3.01, 1 Zn 3.16

Output
Formation energy: -0.288 eV/atom
Distance to the lowest polymorph of the same formula: 93 meV/atom
V: 284.9 Å³ per cell

***

Entry 8:
Computed, not measured: an optimized crystal structure of LaTlB2 at the GGA-PBE level of DFT.

Unit cell a=6.6102 b=6.6102 c=6.6102 alpha=90.00 beta=90.00 gamma=90.00
Last column: nearest neighbours and their distance in Å.
Space group Fm-3m (No. 225)
One atom of each set of equivalent atoms:
1 La 0.0000 0.0000 0.0000 [4 per cell]  8 B 2.86
2 Tl 0.0000 0.0000 0.5000 [4 per cell]  8 B 2.86
3 B 0.2500 0.2500 0.2500 [8 per cell]  4 Tl 2.86, 4 La 2.86

Output
Formation energy: 0.816 eV/atom
Distance to the lowest polymorph of the same formula: 0 meV/atom
V: 288.8 Å³ per cell

***

Entry 9:
Computed, not measured: an optimized crystal structure of Zr3BiH at the GGA-PBE level of DFT.

Unit cell a=11.9876 b=11.9876 c=11.9876 alpha=90.00 beta=90.00 gamma=90.00
Last column: nearest neighbours and their distance in Å.
Space group Fd-3m (No. 227, origin choice 2)
One atom of each set of equivalent atoms:
1 Zr 0.0668 0.3750 0.3750 [48 per cell]  2 H 2.27
2 Bi 0.0000 0.0000 0.5000 [16 per cell]  6 Zr 3.05
3 H 0.0000 0.0000 0.0000 [16 per cell]  6 Zr 2.27

Output
Distance to the lowest polymorph of the same formula: 380 meV/atom
V: 1722.7 Å³ per cell

***

Entry 10:
Computed, not measured: an optimized crystal structure of La4CoCu at the GGA-PBE level of DFT.

Unit cell a=8.8971 b=8.8971 c=8.8971 alpha=90.00 beta=90.00 gamma=90.00
Last column: nearest neighbours and their distance in Å.
Space group F-43m (No. 216)
One atom of each set of equivalent atoms:
1 La 0.1247 0.1247 0.1247 [16 per cell]  6 La 3.14-3.15
2 Co 0.2500 0.2500 0.7500 [4 per cell]  12 La 3.69, 4 Cu 3.85
3 Cu 0.0000 0.0000 0.5000 [4 per cell]  12 La 3.69, 4 Co 3.85

Output
Formation energy: 0.851 eV/atom
Distance to the lowest polymorph of the same formula: 951 meV/atom
V: 704.3 Å³ per cell

***

Entry 11:
Computed, not measured: an optimized crystal structure of Pr2Y3ThSe6 at the GGA-PBE level of DFT.

Unit cell a=18.3183 b=4.1248 c=8.4246 alpha=90.00 beta=105.29 gamma=90.00
Last column: nearest neighbours and their distance in Å.
Space group C2/m (No. 12)
One atom of each set of equivalent atoms:
1 Pr 0.1638 0.0000 0.3279 [4 per cell]  6 Se 2.99-3.04
2 Y 0.0000 0.5000 0.5000 [2 per cell]  6 Se 2.89-2.91
3 Y 0.1672 0.0000 0.8345 [4 per cell]  6 Se 2.86-2.89
4 Th 0.0000 0.5000 0.0000 [2 per cell]  6 Se 3.01
5 Se 0.0052 0.0000 0.7430 [4 per cell]  3 Y 2.86-2.89, 1 Pr 2.99, 2 Th 3.01
6 Se 0.1645 0.5000 0.5919 [4 per cell]  3 Y 2.89-2.91, 3 Pr 3.03-3.04
7 Se 0.1697 0.5000 0.0725 [4 per cell]  3 Y 2.87-2.88, 2 Pr 3.00, 1 Th 3.01

Output
ΔE_f (raw): -1.7483 eV per atom
V: 614.0 Å³ per cell

***

Entry 12:
Computed, not measured: an optimized crystal structure of AcTbIrAu at the GGA-PBE level of DFT.

Unit cell a=7.3491 b=7.3491 c=7.3491 alpha=90.00 beta=90.00 gamma=90.00
Last column: nearest neighbours and their distance in Å.
Space group F-43m (No. 216)
One atom of each set of equivalent atoms:
1 Ac 0.0000 0.0000 0.0000 [4 per cell]  4 Ir 3.18, 4 Au 3.18
2 Tb 0.0000 0.0000 0.5000 [4 per cell]  4 Ir 3.18, 4 Au 3.18
3 Ir 0.2500 0.2500 0.2500 [4 per cell]  4 Tb 3.18, 4 Ac 3.18
4 Au 0.2500 0.2500 0.7500 [4 per cell]  4 Ac 3.18, 4 Tb 3.18

Output
Formation energy: -0.640 eV/atom
V: 396.9 Å³ per cell

***

Entry 13:
Computed, not measured: an optimized crystal structure of Dy2ErZrSc4 at the GGA-PBE level of DFT.

Unit cell a=4.7655 b=4.7800 c=9.2822 alpha=90.00 beta=90.00 gamma=90.00
Last column: nearest neighbours and their distance in Å.
Space group Pmmm (No. 47)
One atom of each set of equivalent atoms:
1 Dy 0.0000 0.0000 0.0000 [1 per cell]  8 Sc 3.26, 4 Zr 3.37
2 Dy 0.5000 0.5000 0.5000 [1 per cell]  4 Er 3.37, 8 Sc 3.40
3 Er 0.0000 0.0000 0.5000 [1 per cell]  4 Dy 3.37, 8 Sc 3.39-3.40
4 Zr 0.5000 0.5000 0.0000 [1 per cell]  8 Sc 3.26, 4 Dy 3.37
5 Sc 0.0000 0.5000 0.2393 [2 per cell]  2 Zr 3.26, 4 Dy 3.26-3.40, 4 Sc 3.37, 2 Er 3.40
6 Sc 0.5000 0.0000 0.2395 [2 per cell]  4 Dy 3.26-3.40, 2 Zr 3.26, 4 Sc 3.37, 2 Er 3.39

Output
Formation energy: 0.054 eV/atom
V: 211.4 Å³ per cell

***

Entry 14:
Computed, not measured: an optimized crystal structure of ThTaSi2 at the GGA-PBE level of DFT.

Unit cell a=3.9489 b=3.9489 c=19.0591 alpha=90.00 beta=90.00 gamma=120.00
Last column: nearest neighbours and their distance in Å.
Space group R-3m (No. 166, hexagonal axes)
One atom of each set of equivalent atoms:
1 Th 0.0000 0.0000 0.0000 [3 per cell]  6 Si 2.96
2 Ta 0.0000 0.0000 0.5000 [3 per cell]  6 Si 2.62
3 Si 0.0000 0.0000 0.2346 [6 per cell]  3 Ta 2.62

Output
ΔE_f (raw): -0.3765 eV per atom
V: 257.4 Å³ per cell

***

Entry 15:
Computed, not measured: an optimized crystal structure of KPmO2 at the GGA-PBE level of DFT.

Unit cell a=3.6106 b=3.6106 c=18.9063 alpha=90.00 beta=90.00 gamma=120.00
Last column: nearest neighbours and their distance in Å.
Space group R-3m (No. 166, hexagonal axes)
One atom of each set of equivalent atoms:
1 K 0.0000 0.0000 0.0000 [3 per cell]  6 O 2.86
2 Pm 0.0000 0.0000 0.5000 [3 per cell]  6 O 2.40
3 O 0.0000 0.0000 0.2299 [6 per cell]  3 Pm 2.40

Output
ΔE_f (raw): -2.6461 eV per atom
Distance to the lowest polymorph of the same formula: 0 meV/atom
V: 213.5 Å³ per cell

***

Entry 16:
Computed, not measured: an optimized crystal structure of LiTa2Cu2 at the GGA-PBE level of DFT.

Unit cell a=7.4417 b=7.4417 c=2.8430 alpha=90.00 beta=90.00 gamma=90.00
Last column: nearest neighbours and their distance in Å.
Space group P4/mbm (No. 127)
One atom of each set of equivalent atoms:
1 Li 0.0000 0.0000 0.0000 [2 per cell]  2 Li 2.84, 4 Cu 2.96, 8 Ta 3.10
2 Ta 0.1740 0.3260 0.5000 [4 per cell]  6 Cu 2.58-2.65, 2 Ta 2.84
3 Cu 0.1210 0.6210 0.0000 [4 per cell]  3 Cu 2.55-2.84, 6 Ta 2.58-2.65

Output
Formation energy: 0.326 eV/atom
Distance to the lowest polymorph of the same formula: 13 meV/atom
V: 157.4 Å³ per cell

***

Entry 17:
Computed, not measured: an optimized crystal structure of FePb2Br2 at the GGA-PBE level of DFT.

Unit cell a=6.3624 b=6.3624 c=7.7136 alpha=90.00 beta=90.00 gamma=90.00
Last column: nearest neighbours and their distance in Å.
Space group I4/mmm (No. 139)
One atom of each set of equivalent atoms:
1 Fe 0.0000 0.0000 0.0000 [2 per cell]  2 Br 2.30
2 Pb 0.0000 0.5000 0.2500 [4 per cell]  4 Br 3.20
3 Br 0.0000 0.0000 0.2979 [4 per cell]  1 Fe 2.30

Output
ΔE_f (raw): 0.2326 eV per atom
V: 312.2 Å³ per cell

***

Entry 18:
Computed, not measured: an optimized crystal structure of Tb3Nd2Tm3 at the GGA-PBE level of DFT.

Unit cell a=5.0449 b=5.0511 c=20.0902 alpha=90.00 beta=90.00 gamma=90.00
Last column: nearest neighbours and their distance in Å.
Space group Immm (No. 71)
One atom of each set of equivalent atoms:
1 Tb 0.0000 0.0000 0.0000 [2 per cell]  4 Tb 3.53, 8 Tm 3.53-3.57
2 Tb 0.0000 0.5000 0.1224 [4 per cell]  6 Tm 3.52-3.57, 2 Tb 3.53, 4 Nd 3.60
3 Nd 0.0000 0.0000 0.2499 [4 per cell]  4 Nd 3.57, 4 Tm 3.59, 4 Tb 3.60
4 Tm 0.0000 0.0000 0.5000 [2 per cell]  8 Tb 3.52-3.57, 4 Tm 3.53
5 Tm 0.0000 0.5000 0.3772 [4 per cell]  6 Tb 3.53-3.57, 2 Tm 3.53, 4 Nd 3.59

Output
Formation energy: 0.024 eV/atom
Distance to the lowest polymorph of the same formula: 0 meV/atom
V: 511.9 Å³ per cell

***

Entry 19:
Computed, not measured: an optimized crystal structure of Sc2TiHg2 at the GGA-PBE level of DFT.

Unit cell a=7.9298 b=7.9298 c=3.5026 alpha=90.00 beta=90.00 gamma=90.00
Last column: nearest neighbours and their distance in Å.
Space group P4/mbm (No. 127)
One atom of each set of equivalent atoms:
1 Sc 0.1530 0.3470 0.0000 [4 per cell]  6 Hg 2.84-2.96, 2 Ti 3.01
2 Ti 0.0000 0.0000 0.0000 [2 per cell]  4 Sc 3.01
3 Hg 0.1476 0.6476 0.5000 [4 per cell]  6 Sc 2.84-2.96

Output
Formation energy: -0.017 eV/atom
Distance to the lowest polymorph of the same formula: 122 meV/atom
V: 220.3 Å³ per cell

***

Entry 20:
Computed, not measured: an optimized crystal structure of Mg4AlTe6 at the GGA-PBE level of DFT.

Unit cell a=13.7963 b=7.7476 c=14.3622 alpha=90.00 beta=108.94 gamma=90.00
Last column: nearest neighbours and their distance in Å.
Space group Cc (No. 9)
One atom of each set of equivalent atoms:
1 Mg 0.0000 0.0841 0.0000 [4 per cell]  4 Te 2.84-2.88
2 Mg 0.1539 0.3804 0.4939 [4 per cell]  4 Te 2.84-2.89
3 Mg 0.1740 0.1108 0.8061 [4 per cell]  4 Te 2.84-2.88
4 Mg 0.3628 0.1378 0.1390 [4 per cell]  4 Te 2.88-3.00
5 Al 0.4304 0.2787 0.7395 [4 per cell]  4 Te 2.58-2.60
6 Te 0.0486 0.2258 0.6145 [4 per cell]  4 Mg 2.86-2.90
7 Te 0.1294 0.2468 0.3034 [4 per cell]  1 Al 2.60, 2 Mg 2.84
8 Te 0.1788 0.2565 0.9917 [4 per cell]  4 Mg 2.84-2.88
9 Te 0.3535 0.2179 0.5535 [4 per cell]  1 Al 2.58, 1 Mg 2.84
10 Te 0.3685 0.4363 0.2982 [4 per cell]  1 Al 2.60, 1 Mg 2.88
11 Te 0.3794 0.0193 0.8289 [4 per cell]  1 Al 2.60, 1 Mg 2.84

Output
ΔE_f (raw): -0.6349 eV per atom
V: 1452.0 Å³ per cell

***

Number 1: density 8.36 g/cm³. Number 2: density 7.05 g/cm³. Number 3: density 6.35 g/cm³. Number 4: density 8.96 g/cm³. Number 5: density 5.29 g/cm³. Number 6: density 7.80 g/cm³. Number 7: density 13.02 g/cm³. Number 8: density 8.39 g/cm³. Number 9: density 7.46 g/cm³. Number 10: density 6.40 g/cm³. Number 11: density 6.78 g/cm³. Number 12: density 12.97 g/cm³. Number 13: density 5.99 g/cm³. Number 14: density 9.08 g/cm³. Number 15: density 5.04 g/cm³. Number 16: density 10.46 g/cm³. Number 17: density 6.70 g/cm³. Number 18: density 8.25 g/cm³. Number 19: density 8.13 g/cm³. Number 20: density 4.07 g/cm³.